The following is a PBE with a Hubbard U calculation of a relaxed structure of LiFeSi2O6, from Alexandria.

Properties
The calculation puts the excess energy over the best structure of this formula in the dataset at 25 meV per atom. The total magnetic moment is 9.904 μB per cell.

abc: 5.1599 7.8667 8.9574
angles: 66.24 89.88 89.78
With the nearest neighbours (Å) after each atom.
Atoms (fractional coordinates):
Li1 0.0000 0.0000 0.0000  3 O 1.91-1.93
Li2 0.4959 0.8615 0.5558  3 O 1.89-1.90
Fe1 0.0058 0.7986 0.3932  4 O 1.83-1.92
Fe2 0.4876 0.8227 0.9150  4 O 1.83-1.91
Si1 0.0255 0.3695 0.4049  4 O 1.62-1.64
Si2 0.5048 0.9956 0.1820  4 O 1.63-1.65
Si3 0.5204 0.3853 0.1938  4 O 1.61-1.64
Si4 0.9868 0.9634 0.6737  4 O 1.64-1.65
O1 0.0440 0.5483 0.4504  1 Si 1.62
O2 0.1306 0.8663 0.5634  1 Si 1.65
O3 0.1579 0.9347 0.8363  1 Si 1.64
O4 0.1961 0.9398 0.1982  1 Si 1.64
O5 0.3047 0.3251 0.3404  2 Si 1.64
O6 0.4428 0.5755 0.0432  1 Si 1.61
O7 0.5383 0.2188 0.1280  2 Si 1.63-1.64
O8 0.6393 0.9478 0.0371  1 Si 1.64
O9 0.6526 0.8810 0.3573  1 Si 1.65
O10 0.6982 0.8711 0.7274  1 Si 1.64
O11 0.8048 0.4039 0.2651  2 Si 1.63
O12 0.9471 0.1864 0.5678  2 Si 1.64